Computed, not measured: a relaxed YCuGe2Pt4 crystal at the PBE level of DFT.

Properties
* total magnetic moment: 0.000 Bohr magnetons per cell
* calculated density: 13.00 Mg/m³
* E_form: -0.60 eV per atom

Cell: 4.2661 4.2661 26.2170 Å, 90.00 90.00 120.00°
Last column: nearest neighbours and their distance in Å.
Space group R-3m (No. 166, hexagonal axes)
Asymmetric unit:
Y (0.0000, 0.0000, 0.0000) [3 per cell]  6 Pt 3.06, 6 Ge 3.39
Cu (0.0000, 0.0000, 0.5000) [3 per cell]  8 Pt 2.55-2.60
Ge (0.0000, 0.0000, 0.2445) [6 per cell]  6 Pt 2.52-2.74
Pt (0.0000, 0.0000, 0.1348) [6 per cell]  3 Cu 2.60, 4 Ge 2.74-2.88
Pt (0.0000, 0.0000, 0.4026) [6 per cell]  3 Ge 2.52, 1 Cu 2.55